Entry 1:
Density functional theory data (PBE-GGA) for MgBeFeAs after structural relaxation.

a = 4.188 Å, b = 4.188 Å, c = 4.188 Å
α = 60.00°, β = 60.00°, γ = 60.00°
Fractional positions:
Mg 0.000 0.000 0.000
Be 0.250 0.250 0.250
Fe 0.750 0.750 0.750
As 0.500 0.500 0.500

Computed properties:
- Space group: F-43m


Entry 2:
Density functional theory data (PBE-GGA) for BeNbFeAs after structural relaxation.

a = 4.214 Å, b = 4.214 Å, c = 4.214 Å
α = 60.00°, β = 60.00°, γ = 60.00°
Fractional positions:
Be 0.000 0.000 0.000
Nb 0.250 0.250 0.250
Fe 0.750 0.750 0.750
As 0.500 0.500 0.500

Computed properties:
- Space group: F-43m


Entry 3:
Density functional theory data (PBE-GGA) for BeNbFeAs after structural relaxation.

a = 4.213 Å, b = 4.213 Å, c = 4.213 Å
α = 60.00°, β = 60.00°, γ = 60.00°
Fractional positions:
Be 0.000 0.000 0.000
Nb 0.750 0.750 0.750
Fe 0.500 0.500 0.500
As 0.250 0.250 0.250

Computed properties:
- Space group: F-43m


Entry 4:
Density functional theory data (PBE-GGA) for BeFeNiAs after structural relaxation.

a = 4.042 Å, b = 4.042 Å, c = 4.042 Å
α = 60.00°, β = 60.00°, γ = 60.00°
Fractional positions:
Be 0.000 0.000 0.000
Fe 0.250 0.250 0.250
Ni 0.500 0.500 0.500
As 0.750 0.750 0.750

Computed properties:
- Space group: F-43m


Entry 5:
Density functional theory data (PBE-GGA) for BeFeNiAs after structural relaxation.

a = 3.990 Å, b = 3.990 Å, c = 3.990 Å
α = 60.00°, β = 60.00°, γ = 60.00°
Fractional positions:
Be 0.000 0.000 0.000
Fe 0.500 0.500 0.500
Ni 0.750 0.750 0.750
As 0.250 0.250 0.250

Computed properties:
- Space group: F-43m


Entry 6:
Density functional theory data (PBE-GGA) for BeFeNiAs after structural relaxation.

a = 3.939 Å, b = 3.939 Å, c = 3.939 Å
α = 60.00°, β = 60.00°, γ = 60.00°
Fractional positions:
Be 0.000 0.000 0.000
Fe 0.750 0.750 0.750
Ni 0.250 0.250 0.250
As 0.500 0.500 0.500

Computed properties:
- Space group: F-43m


For the records above, the corresponding VASP energy values read -16.81; -26.30; -25.94; -21.46; -21.89; -22.70 eV per cell.
For the records above, the corresponding total magnetization values read 1.1; 2.1; 0.4; 2.5; 1.9; 1.4 μB/cell.